No. 1
VASP calculation (GGA-PBE) on a relaxed PaAl2Zn crystal.

CIF file:
```
data_PaAl2Zn
_chemical_formula_sum 'Pa4 Al8 Zn4'
_symmetry_space_group_name_H-M 'P 1'
_symmetry_Int_Tables_number 1
_symmetry_space_group_name_Hall 'P 1'
_cell_length_a 6.771
_cell_length_b 6.771
_cell_length_c 6.771
_cell_angle_alpha 90.00
_cell_angle_beta 90.00
_cell_angle_gamma 90.00
loop_
_atom_site_label
_atom_site_fract_x
_atom_site_fract_y
_atom_site_fract_z
Pa1 0.000 0.000 0.000
Pa2 0.000 0.500 0.500
Pa3 0.500 0.000 0.500
Pa4 0.500 0.500 0.000
Al1 0.250 0.250 0.250
Al2 0.250 0.250 0.750
Al3 0.250 0.750 0.250
Al4 0.250 0.750 0.750
Al5 0.750 0.250 0.250
Al6 0.750 0.250 0.750
Al7 0.750 0.750 0.250
Al8 0.750 0.750 0.750
Zn1 0.000 0.000 0.500
Zn2 0.000 0.500 0.000
Zn3 0.500 0.000 0.000
Zn4 0.500 0.500 0.500
```

Properties
Magnetization ... 0.00 μB/f.u.
Energy relative to the elements ... 26 kJ/mol of formula units
Density of states at the Fermi level ... 0.809 states/eV/atom


No. 2
VASP calculation (GGA-PBE) on a relaxed PaAl10Zn2 crystal.

CIF file:
```
data_PaAl10Zn2
_chemical_formula_sum 'Pa1 Al10 Zn2'
_symmetry_space_group_name_H-M 'P 1'
_symmetry_Int_Tables_number 1
_symmetry_space_group_name_Hall 'P 1'
_cell_length_a 9.106
_cell_length_b 7.089
_cell_length_c 6.860
_cell_angle_alpha 81.49
_cell_angle_beta 50.35
_cell_angle_gamma 48.16
loop_
_atom_site_label
_atom_site_fract_x
_atom_site_fract_y
_atom_site_fract_z
Pa1 0.000 0.000 0.000
Al1 0.000 0.000 0.500
Al2 0.001 0.646 0.354
Al3 0.285 0.498 0.502
Al4 0.354 0.999 0.001
Al5 0.498 0.285 0.715
Al6 0.500 0.500 0.000
Al7 0.502 0.715 0.285
Al8 0.646 0.001 0.999
Al9 0.715 0.502 0.498
Al10 0.999 0.354 0.646
Zn1 0.000 0.500 0.000
Zn2 0.500 0.000 0.500
```

Properties
Magnetization ... 0.00 μB/f.u.
Energy relative to the elements ... -75 kJ/mol of formula units
Density of states at the Fermi level ... 0.571 states/eV/atom


No. 3
VASP calculation (GGA-PBE) on a relaxed Pa2Al5Zn3 crystal.

CIF file:
```
data_Pa2Al5Zn3
_chemical_formula_sum 'Pa2 Al5 Zn3'
_symmetry_space_group_name_H-M 'P 1'
_symmetry_Int_Tables_number 1
_symmetry_space_group_name_Hall 'P 1'
_cell_length_a 4.135
_cell_length_b 4.135
_cell_length_c 10.903
_cell_angle_alpha 90.00
_cell_angle_beta 90.00
_cell_angle_gamma 90.00
loop_
_atom_site_label
_atom_site_fract_x
_atom_site_fract_y
_atom_site_fract_z
Pa1 0.000 0.500 0.248
Pa2 0.500 0.000 0.752
Al1 0.000 0.000 0.000
Al2 0.000 0.000 0.500
Al3 0.000 0.500 0.851
Al4 0.500 0.000 0.149
Al5 0.500 0.500 0.000
Zn1 0.000 0.500 0.632
Zn2 0.500 0.000 0.368
Zn3 0.500 0.500 0.500
```

Properties
Magnetization ... 0.17 μB/f.u.
Energy relative to the elements ... -141 kJ/mol of formula units
Density of states at the Fermi level ... 1.067 states/eV/atom


Question: Which formula does entry 1 have?
Answer: PaAl2Zn


Question: Among the records above, which one has the lowest density of states at the Fermi level?
Answer: PaAl10Zn2